Here is an optimized crystal structure of Pu3Ga5Se12 from the Alexandria database. Energies are from GGA-PBE.

Cell lengths 13.816, 13.816, 13.816 Å; angles 109.47, 109.47, 109.47 degrees
Each line ends with the local moment (μB).
Atoms (fractional coordinates):
Se (0.676, 0.211, 0.587)  -0.06
Se (0.535, 0.211, 0.125)  -0.06
Se (0.125, 0.413, 0.090)  -0.06
Se (0.375, 0.410, 0.087)  -0.06
Se (0.465, 0.676, 0.090)  -0.06
Se (0.289, 0.413, 0.824)  -0.06
Se (0.413, 0.289, 0.324)  -0.06
Se (0.035, 0.625, 0.711)  -0.06
Se (0.824, 0.910, 0.035)  -0.06
Se (0.590, 0.625, 0.413)  -0.06
Se (0.711, 0.125, 0.035)  -0.06
Se (0.035, 0.410, 0.824)  -0.06
Se (0.410, 0.035, 0.324)  -0.06
Se (0.965, 0.590, 0.176)  -0.06
Se (0.087, 0.910, 0.375)  -0.06
Se (0.410, 0.375, 0.587)  -0.06
Se (0.211, 0.535, 0.625)  -0.06
Se (0.590, 0.965, 0.676)  -0.06
Se (0.625, 0.590, 0.913)  -0.06
Se (0.176, 0.087, 0.711)  -0.06
Se (0.211, 0.676, 0.087)  -0.06
Se (0.413, 0.125, 0.590)  -0.06
Se (0.090, 0.176, 0.465)  -0.06
Se (0.324, 0.789, 0.413)  -0.06
Se (0.913, 0.090, 0.625)  -0.06
Se (0.090, 0.913, 0.125)  -0.06
Se (0.375, 0.965, 0.789)  -0.06
Se (0.711, 0.587, 0.176)  -0.06
Se (0.465, 0.789, 0.875)  -0.06
Se (0.676, 0.465, 0.590)  -0.06
Se (0.910, 0.824, 0.535)  -0.06
Se (0.789, 0.465, 0.375)  -0.06
Se (0.289, 0.875, 0.965)  -0.06
Se (0.625, 0.035, 0.211)  -0.06
Se (0.087, 0.176, 0.211)  -0.06
Se (0.913, 0.824, 0.789)  -0.06
Se (0.587, 0.875, 0.410)  -0.06
Se (0.535, 0.324, 0.910)  -0.06
Se (0.824, 0.913, 0.289)  -0.06
Se (0.910, 0.087, 0.875)  -0.06
Se (0.176, 0.090, 0.965)  -0.06
Se (0.125, 0.711, 0.535)  -0.06
Se (0.875, 0.587, 0.910)  -0.06
Se (0.587, 0.711, 0.676)  -0.06
Se (0.789, 0.324, 0.913)  -0.06
Se (0.875, 0.289, 0.465)  -0.06
Se (0.324, 0.535, 0.410)  -0.06
Se (0.965, 0.375, 0.289)  -0.06
Ga (0.500, 0.500, 0.000)  0.04
Ga (0.000, 0.000, 0.000)  0.04
Ga (0.500, 0.000, 0.500)  0.04
Ga (0.500, 0.500, 0.500)  0.04
Ga (0.000, 0.500, 0.000)  0.04
Ga (0.750, 0.625, 0.375)  0.01
Ga (0.375, 0.250, 0.125)  0.01
Ga (0.000, 0.000, 0.500)  0.04
Ga (0.875, 0.625, 0.750)  0.01
Ga (0.375, 0.125, 0.750)  0.01
Ga (0.125, 0.750, 0.375)  0.01
Ga (0.250, 0.875, 0.125)  0.01
Ga (0.250, 0.375, 0.625)  0.01
Ga (0.125, 0.375, 0.250)  0.01
Ga (0.625, 0.750, 0.875)  0.01
Ga (0.500, 0.000, 0.000)  0.04
Ga (0.000, 0.500, 0.500)  0.04
Ga (0.750, 0.125, 0.875)  0.01
Ga (0.875, 0.250, 0.625)  0.01
Ga (0.625, 0.875, 0.250)  0.01
Pu (0.375, 0.750, 0.625)  5.11
Pu (0.125, 0.250, 0.875)  5.11
Pu (0.875, 0.125, 0.250)  5.11
Pu (0.625, 0.250, 0.375)  5.11
Pu (0.250, 0.625, 0.875)  5.11
Pu (0.750, 0.875, 0.625)  5.11
Pu (0.625, 0.375, 0.750)  5.11
Pu (0.875, 0.750, 0.125)  5.11
Pu (0.750, 0.375, 0.125)  5.11
Pu (0.250, 0.125, 0.375)  5.11
Pu (0.125, 0.875, 0.750)  5.11
Pu (0.375, 0.625, 0.250)  5.11

Computed properties:
**Total magnetic moment**: 14.98 μB/f.u.
**Calculated total energy**: -5.8472 eV per atom
**Formation energy (no corrections)**: -0.850 eV/atom